The following is a DFT calculation (PBE) of a relaxed CaAcPm2 crystal.

Computed properties:
Its formation energy is 0.067 eV per atom. The excess energy over the best structure of this formula in the dataset comes out at 11 meV/atom. Its volume is 38.419 Å³/atom. As for the space group: P4/mmm. Its total magnetic moment is 0.00 μB per cell.

abc: 3.824 3.824 10.509
angles: 90.00 90.00 90.00
Fractional coordinates of all 4 atoms:
Ac: 0.500 0.500 0.000
Ca: 0.500 0.500 0.500
Pm: 0.000 0.000 0.756
Pm: 0.000 0.000 0.244



The following is a DFT calculation (PBE) of a relaxed SrRhF2 crystal.

Computed properties:
The excess energy over the best structure of this formula in the dataset comes out at 350 meV/atom. Its volume is 15.572 Å³/atom. As for the space group: Fm-3m. Its total magnetic moment is 1.13 μB per cell. The value obtained for the energy relative to the elements, uncorrected is -1.5855 eV per atom.

abc: 4.449 4.449 4.449
angles: 60.00 60.00 60.00
Fractional coordinates of all 4 atoms:
Sr: 0.000 0.000 0.000
Rh: 0.500 0.500 0.500
F: 0.250 0.250 0.250
F: 0.750 0.750 0.750



The following is a DFT calculation (PBE) of a relaxed Tb6MgTl2 crystal.

Computed properties:
Its formation energy is 0.119 eV per atom. Its volume is 33.306 Å³/atom. As for the space group: Immm. Its total magnetic moment is 0.00 μB per cell.

abc: 5.164 7.439 9.024
angles: 114.34 106.67 90.00
Fractional coordinates of all 9 atoms:
Tb: 0.166 0.415 0.332
Tb: 0.834 0.083 0.668
Tb: 0.834 0.585 0.668
Tb: 0.500 0.250 0.000
Tb: 0.166 0.917 0.332
Tb: 0.500 0.750 0.000
Mg: 0.000 0.000 0.000
Tl: 0.667 0.667 0.335
Tl: 0.333 0.333 0.665



The following is a DFT calculation (PBE) of a relaxed BeTe2Cl crystal.

Computed properties:
The excess energy over the best structure of this formula in the dataset comes out at 417 meV/atom. Its volume is 29.239 Å³/atom. As for the space group: I-42d. Its total magnetic moment is 0.00 μB per cell. The value obtained for the energy relative to the elements, uncorrected is 0.0631 eV per atom.

abc: 5.731 5.731 8.195
angles: 69.53 69.53 90.00
Fractional coordinates of all 8 atoms:
Be: 0.500 0.500 0.000
Be: 0.250 0.750 0.500
Te: 0.511 0.125 0.250
Te: 0.239 0.625 0.250
Te: 0.375 0.489 0.750
Te: 0.875 0.761 0.750
Cl: 0.000 0.000 0.000
Cl: 0.750 0.250 0.500



The following is a DFT calculation (PBE) of a relaxed PIrCl2 crystal.

Computed properties:
The excess energy over the best structure of this formula in the dataset comes out at 1859 meV/atom. Its volume is 16.818 Å³/atom. As for the space group: Pmmm. Its total magnetic moment is 0.00 μB per cell. The value obtained for the energy relative to the elements, uncorrected is 1.1966 eV per atom.

abc: 2.930 3.774 6.084
angles: 90.00 90.00 90.00
Fractional coordinates of all 4 atoms:
Cl: 0.000 0.000 0.014
Cl: 0.000 0.000 0.486
Ir: 0.500 0.500 0.250
P: 0.500 0.500 0.750



The following is a DFT calculation (PBE) of a relaxed PmNbGe crystal.

Computed properties:
Its formation energy is -0.592 eV per atom. The excess energy over the best structure of this formula in the dataset comes out at 21 meV/atom. Its volume is 22.388 Å³/atom. As for the space group: I4/mmm. Its total magnetic moment is 0.93 μB per cell.

abc: 4.056 4.056 8.658
angles: 103.58 103.58 90.00
Fractional coordinates of all 6 atoms:
Pm: 0.324 0.324 0.649
Pm: 0.676 0.676 0.351
Nb: 0.500 0.000 0.000
Nb: 0.000 0.500 0.000
Ge: 0.880 0.880 0.760
Ge: 0.120 0.120 0.240



The following is a DFT calculation (PBE) of a relaxed CdCuSnAu crystal.

Computed properties:
Its formation energy is 0.073 eV per atom. Its volume is 19.721 Å³/atom. As for the space group: F-43m. Its total magnetic moment is 0.00 μB per cell.

abc: 4.814 4.814 4.814
angles: 60.00 60.00 60.00
Fractional coordinates of all 4 atoms:
Au: 0.250 0.250 0.250
Sn: 0.000 0.000 0.000
Cu: 0.750 0.750 0.750
Cd: 0.500 0.500 0.500



The following is a DFT calculation (PBE) of a relaxed Sr2TbPd4Pb3 crystal.

Computed properties:
Its formation energy is -0.574 eV per atom. Its volume is 25.920 Å³/atom. As for the space group: P-4m2. Its total magnetic moment is 0.00 μB per cell.

abc: 4.745 4.745 11.512
angles: 90.00 90.00 90.00
Fractional coordinates of all 10 atoms:
Sr: 0.500 0.000 0.225
Sr: 0.000 0.500 0.775
Tb: 0.500 0.500 0.500
Pd: 0.500 0.500 0.000
Pd: 0.000 0.000 0.000
Pd: 0.500 0.000 0.641
Pd: 0.000 0.500 0.359
Pb: 0.000 0.000 0.500
Pb: 0.500 0.000 0.878
Pb: 0.000 0.500 0.122